No. 1
La2Ru | Alexandria | PBE | relaxed; total DFT energy (no corrections) = -6.53 eV per atom; DOS(E_F) = 2.50 states/eV/f.u.; space-group type = I4_1/amd; DFT formation energy = -0.154 eV/atom
1.0
-1.757 1.757 14.393
1.757 -1.757 14.393
1.757 1.757 -14.393
La Ru
4 2
Cartesian
0.000 0.000 16.127
0.000 0.000 12.659
1.757 0.000 8.931
1.757 0.000 5.462
0.000 1.757 7.197
0.000 0.000 0.000


No. 2
CsBeAuO2 | Alexandria | PBE | relaxed; total DFT energy (no corrections) = -2.48 eV per atom; DOS(E_F) = 2.04 states/eV/f.u.; formation energy without anion corrections = 1.0731 eV/atom; space-group type = P4/mmm
1.0
4.189 0.000 0.000
0.000 7.204 0.000
0.000 0.000 4.189
Cs Be Au O
1 1 1 2
Cartesian
0.000 0.000 0.000
2.095 3.602 2.095
0.000 3.602 0.000
0.000 0.000 2.095
2.095 0.000 0.000


No. 3
PPb2W | Alexandria | PBE | relaxed; total DFT energy (no corrections) = -5.45 eV per atom; DOS(E_F) = 1.47 states/eV/f.u.; space-group type = R-3m; DFT formation energy = 0.993 eV/atom
1.0
10.186 -1.584 0.005
10.186 1.584 0.005
9.938 0.000 2.736
P Pb W
1 2 1
Cartesian
0.000 0.000 0.000
22.823 0.000 2.067
7.487 0.000 0.678
15.155 0.000 1.373


No. 4
AcZrSe3 | Alexandria | PBE | relaxed; excess energy over the best structure of this formula in the dataset = 0 meV/atom; total DFT energy (no corrections) = -6.22 eV per atom; DOS(E_F) = 3.23 states/eV/f.u.; formation energy without anion corrections = -1.6023 eV/atom; space-group type = C2/m
1.0
-1.296 -2.570 2.812
-1.661 -3.568 -6.906
9.077 -1.919 -0.438
Ac Zr Se
2 2 6
Cartesian
6.904 -4.220 1.975
4.896 -4.669 -2.243
1.671 -5.692 -4.668
-0.608 -4.846 -2.067
4.015 -4.226 0.636
4.184 -4.680 -5.463
0.603 -4.262 -6.733
7.251 -5.207 -4.523
1.755 -3.706 -2.815
-1.292 -2.744 -0.465


- What is the DOS(E_F) in the second record?
  2.04 states/eV/f.u.


- Look up the DOS(E_F) of the fourth one.
  3.23 states/eV/f.u.


- The highest total DFT energy (no corrections) belongs to which entry?
  CsBeAuO2